Entry from Alexandria: an optimized crystal structure of V3AgO (PBE+U).

a b c (Å): 4.3050 4.3050 4.3050
angles (deg): 90.00 90.00 90.00
With the nearest neighbours (Å) after each atom.
Fractional coordinates of all 5 atoms:
1 Ag 0.5000 0.5000 0.5000  12 V 3.04
2 O 0.0000 0.0000 0.0000  6 V 2.15
3 V 0.0000 0.5000 0.0000  2 O 2.15
4 V 0.0000 0.0000 0.5000  2 O 2.15
5 V 0.5000 0.0000 0.0000  2 O 2.15

Results
VASP energy	-5.914	eV/atom
Fermi-level density of states	2.31	states/eV/f.u.